Record 1
# LaY2Hg

LaY2Hg at its PBEsol-relaxed geometry (SCAN, the Alexandria database).

Structure (POSCAR):
```
LaY2Hg
1.0
4.697 0.000 0.000
0.000 4.697 0.000
0.000 0.000 9.903
La Y Hg
2 4 2
direct
0.000 0.000 0.000 La
0.500 0.500 0.500 La
0.000 0.000 0.500 Y
0.000 0.500 0.250 Y
0.500 0.000 0.750 Y
0.500 0.500 0.000 Y
0.000 0.500 0.750 Hg
0.500 0.000 0.250 Hg
```

Output
Calculated formation energy (eV per atom): -0.269
Size of the total moment (μB per formula unit): 0.0
Crystal system: tetragonal
Electronic total energy (eV/atom): -42.0085
SG: I-4m2

Record 2
# LaY2Hg

LaY2Hg at its PBEsol-relaxed geometry (SCAN, the Alexandria database).

Structure (POSCAR):
```
LaY2Hg
1.0
3.621 0.000 0.000
0.000 4.573 0.000
0.000 0.000 6.803
La Y Hg
1 2 1
direct
0.000 0.000 0.000 La
0.000 0.000 0.536 Y
0.500 0.500 0.285 Y
0.500 0.500 0.758 Hg
```

Output
Calculated formation energy (eV per atom): -0.282
Size of the total moment (μB per formula unit): 0.0
Crystal system: orthorhombic
Electronic total energy (eV/atom): -42.0210
SG: Pmm2

Record 3
# LaY2Hg2

LaY2Hg2 at its PBEsol-relaxed geometry (SCAN, the Alexandria database).

Structure (POSCAR):
```
LaY2Hg2
1.0
4.836 0.000 0.000
0.000 4.836 0.000
0.000 0.000 12.522
La Y Hg
2 4 4
direct
0.000 0.000 0.000 La
0.500 0.500 0.500 La
0.000 0.500 0.250 Y
0.000 0.500 0.750 Y
0.500 0.000 0.250 Y
0.500 0.000 0.750 Y
0.000 0.000 0.392 Hg
0.000 0.000 0.608 Hg
0.500 0.500 0.108 Hg
0.500 0.500 0.892 Hg
```

Output
Calculated formation energy (eV per atom): -0.485
Size of the total moment (μB per formula unit): 0.1
Crystal system: tetragonal
Electronic total energy (eV/atom): -47.5095
SG: I4/mmm
Energy above the lowest structure with this stoichiometry (eV/atom): 0.1198

Record 4
# La2YHg

La2YHg at its PBEsol-relaxed geometry (SCAN, the Alexandria database).

Structure (POSCAR):
```
La2YHg
1.0
12.594 0.000 0.000
0.000 3.773 0.000
-2.432 0.000 5.051
La Y Hg
4 2 2
direct
0.000 0.000 0.000 La
0.224 0.000 0.739 La
0.500 0.500 0.000 La
0.724 0.500 0.739 La
0.446 0.000 0.447 Y
0.946 0.500 0.447 Y
0.235 0.500 0.256 Hg
0.735 0.000 0.256 Hg
```

Output
Calculated formation energy (eV per atom): -0.354
Size of the total moment (μB per formula unit): 0.0
Crystal system: monoclinic
Electronic total energy (eV/atom): -45.9086
SG: Cm

Record 5
# LaZnHg

LaZnHg at its PBEsol-relaxed geometry (SCAN, the Alexandria database).

Structure (POSCAR):
```
LaZnHg
1.0
4.775 0.000 0.000
-2.388 4.135 0.000
0.000 0.000 3.550
La Zn Hg
1 1 1
direct
0.000 0.000 0.000 La
0.333 0.667 0.500 Zn
0.667 0.333 0.500 Hg
```

Output
Calculated formation energy (eV per atom): -0.582
Size of the total moment (μB per formula unit): 0.0
Crystal system: hexagonal
Electronic total energy (eV/atom): -42.1778
SG: P-6m2

Record 6
# La2Zn2Hg

La2Zn2Hg at its PBEsol-relaxed geometry (SCAN, the Alexandria database).

Structure (POSCAR):
```
La2Zn2Hg
1.0
3.618 0.000 0.000
0.000 3.618 0.000
0.000 0.000 19.179
La Zn Hg
4 4 2
direct
0.000 0.000 0.109 La
0.000 0.000 0.891 La
0.500 0.500 0.391 La
0.500 0.500 0.609 La
0.000 0.500 0.250 Zn
0.000 0.500 0.750 Zn
0.500 0.000 0.250 Zn
0.500 0.000 0.750 Zn
0.000 0.000 0.500 Hg
0.500 0.500 0.000 Hg
```

Output
Calculated formation energy (eV per atom): -0.292
Size of the total moment (μB per formula unit): 0.0
Crystal system: tetragonal
Electronic total energy (eV/atom): -36.5728
SG: I4/mmm

Record 7
# LaZn2Hg2

LaZn2Hg2 at its PBEsol-relaxed geometry (SCAN, the Alexandria database).

Structure (POSCAR):
```
LaZn2Hg2
1.0
4.443 0.000 0.000
0.000 4.443 0.000
0.000 0.000 11.093
La Zn Hg
2 4 4
direct
0.000 0.000 0.000 La
0.500 0.500 0.500 La
0.000 0.500 0.250 Zn
0.000 0.500 0.750 Zn
0.500 0.000 0.250 Zn
0.500 0.000 0.750 Zn
0.000 0.000 0.376 Hg
0.000 0.000 0.624 Hg
0.500 0.500 0.124 Hg
0.500 0.500 0.876 Hg
```

Output
Calculated formation energy (eV per atom): -0.440
Size of the total moment (μB per formula unit): 0.0
Crystal system: tetragonal
Electronic total energy (eV/atom): -41.7336
SG: I4/mmm

Record 8
# LaZr2Hg

LaZr2Hg at its PBEsol-relaxed geometry (SCAN, the Alexandria database).

Structure (POSCAR):
```
LaZr2Hg
1.0
3.269 0.000 0.000
0.000 3.269 0.000
0.000 0.000 9.122
La Zr Hg
1 2 1
direct
0.000 0.000 0.000 La
0.000 0.000 0.519 Zr
0.500 0.500 0.291 Zr
0.500 0.500 0.737 Hg
```

Output
Calculated formation energy (eV per atom): -0.187
Size of the total moment (μB per formula unit): 0.0
Crystal system: tetragonal
Electronic total energy (eV/atom): -43.3540
SG: P4mm

Record 9
# LaZrHg2

LaZrHg2 at its PBEsol-relaxed geometry (SCAN, the Alexandria database).

Structure (POSCAR):
```
LaZrHg2
1.0
7.323 0.000 0.000
0.000 7.323 0.000
0.000 0.000 7.323
La Zr Hg
4 4 8
direct
0.000 0.000 0.000 La
0.000 0.500 0.500 La
0.500 0.000 0.500 La
0.500 0.500 0.000 La
0.000 0.000 0.500 Zr
0.000 0.500 0.000 Zr
0.500 0.000 0.000 Zr
0.500 0.500 0.500 Zr
0.250 0.250 0.250 Hg
0.250 0.250 0.750 Hg
0.250 0.750 0.250 Hg
0.250 0.750 0.750 Hg
0.750 0.250 0.250 Hg
0.750 0.250 0.750 Hg
0.750 0.750 0.250 Hg
0.750 0.750 0.750 Hg
```

Output
Calculated formation energy (eV per atom): -0.391
Size of the total moment (μB per formula unit): 1.4
Crystal system: cubic
Electronic total energy (eV/atom): -52.9253
SG: Fm-3m
Energy above the lowest structure with this stoichiometry (eV/atom): 0.0821

Record 10
# LaZrHg2

LaZrHg2 at its PBEsol-relaxed geometry (SCAN, the Alexandria database).

Structure (POSCAR):
```
LaZrHg2
1.0
3.486 0.000 0.000
0.000 5.243 0.000
0.000 0.000 10.511
La Zr Hg
2 2 4
direct
0.000 0.000 0.000 La
0.500 0.500 0.500 La
0.000 0.500 0.765 Zr
0.500 0.000 0.265 Zr
0.000 0.000 0.508 Hg
0.000 0.500 0.235 Hg
0.500 0.000 0.735 Hg
0.500 0.500 0.008 Hg
```

Output
Calculated formation energy (eV per atom): -0.273
Size of the total moment (μB per formula unit): 0.0
Crystal system: orthorhombic
Electronic total energy (eV/atom): -52.8067
SG: Imm2
Energy above the lowest structure with this stoichiometry (eV/atom): 0.2007

Record 11
# LaZr3Hg

LaZr3Hg at its PBEsol-relaxed geometry (SCAN, the Alexandria database).

Structure (POSCAR):
```
LaZr3Hg
1.0
5.031 0.000 0.000
0.000 5.031 0.000
0.000 0.000 5.031
La Zr Hg
1 3 1
direct
0.000 0.000 0.000 La
0.000 0.000 0.500 Zr
0.000 0.500 0.000 Zr
0.500 0.000 0.000 Zr
0.500 0.500 0.500 Hg
```

Output
Calculated formation energy (eV per atom): 1.185
Size of the total moment (μB per formula unit): 0.0
Crystal system: cubic
Electronic total energy (eV/atom): -39.4881
SG: Pm-3m
Energy above the lowest structure with this stoichiometry (eV/atom): 0.6450

Record 12
# LaZr2Hg2

LaZr2Hg2 at its PBEsol-relaxed geometry (SCAN, the Alexandria database).

Structure (POSCAR):
```
LaZr2Hg2
1.0
4.521 0.000 0.000
0.000 4.521 0.000
0.000 0.000 12.640
La Zr Hg
2 4 4
direct
0.000 0.000 0.000 La
0.500 0.500 0.500 La
0.000 0.000 0.388 Zr
0.000 0.000 0.612 Zr
0.500 0.500 0.112 Zr
0.500 0.500 0.888 Zr
0.000 0.500 0.250 Hg
0.000 0.500 0.750 Hg
0.500 0.000 0.250 Hg
0.500 0.000 0.750 Hg
```

Output
Calculated formation energy (eV per atom): -0.066
Size of the total moment (μB per formula unit): 0.0
Crystal system: tetragonal
Electronic total energy (eV/atom): -48.2327
SG: I4/mmm
Energy above the lowest structure with this stoichiometry (eV/atom): 0.2342

Record 13
# LaZr3Hg

LaZr3Hg at its PBEsol-relaxed geometry (SCAN, the Alexandria database).

Structure (POSCAR):
```
LaZr3Hg
1.0
5.291 0.000 0.000
0.000 5.291 0.000
0.000 0.000 5.291
La Zr Hg
1 3 1
direct
0.000 0.000 0.000 La
0.000 0.500 0.500 Zr
0.500 0.000 0.500 Zr
0.500 0.500 0.000 Zr
0.500 0.500 0.500 Hg
```

Output
Calculated formation energy (eV per atom): 0.540
Size of the total moment (μB per formula unit): 3.1
Crystal system: cubic
Electronic total energy (eV/atom): -40.1331
SG: Pm-3m
Energy above the lowest structure with this stoichiometry (eV/atom): 0.0000